1.
ZnSi2Pb | PBE-GGA | relaxed

Cell lengths 4.884, 4.884, 4.884 Å; angles 60.00, 60.00, 60.00 degrees
Atoms (fractional coordinates):
1 Pb 0.500 0.500 0.500
2 Zn 0.000 0.000 0.000
3 Si 0.250 0.250 0.250
4 Si 0.750 0.750 0.750

Results
Volume in Å³ per atom: 20.59
Electronic total energy in eV/cell: -13.36
Space-group type: Fm-3m, No. 225

***

2.
ZnSiPb | PBE-GGA | relaxed

Cell lengths 5.969, 5.982, 3.447 Å; angles 73.01, 73.46, 33.53 degrees
Atoms (fractional coordinates):
1 Pb 0.000 0.000 0.000
2 Si 0.295 0.295 0.705
3 Zn 0.705 0.705 0.295

Results
Volume in Å³ per atom: 21.61
Electronic total energy in eV/cell: -9.29
Space-group type: Fmm2, No. 42

***

3.
Zn2SiPb | PBE-GGA | relaxed

Cell lengths 5.264, 5.264, 5.264 Å; angles 131.01, 131.01, 71.80 degrees
Atoms (fractional coordinates):
1 Pb 0.500 0.500 0.000
2 Si 0.750 0.250 0.500
3 Zn 0.000 0.000 0.000
4 Zn 0.250 0.750 0.500

Results
Volume in Å³ per atom: 20.31
Electronic total energy in eV/cell: -10.11
Space-group type: I-4m2, No. 119

***

4.
Zn2SiPb | PBE-GGA | relaxed

Cell lengths 5.003, 5.003, 3.373 Å; angles 90.00, 90.00, 105.83 degrees
Atoms (fractional coordinates):
1 Pb 0.500 0.000 0.500
2 Si 0.000 0.500 0.500
3 Zn 0.000 0.000 0.000
4 Zn 0.500 0.500 0.000

Results
Volume in Å³ per atom: 20.31
Electronic total energy in eV/cell: -10.00
Space-group type: Cmmm, No. 65

***

5.
Zn2SiPb | PBE-GGA | relaxed

Cell lengths 3.392, 3.392, 7.078 Å; angles 90.00, 90.00, 89.88 degrees
Atoms (fractional coordinates):
1 Pb 0.000 0.000 0.487
2 Si 0.500 0.500 0.828
3 Zn 0.000 0.000 0.990
4 Zn 0.500 0.500 0.195

Results
Volume in Å³ per atom: 20.36
Electronic total energy in eV/cell: -10.48
Space-group type: Cmm2, No. 35

***

6.
ZnSi2Pb | PBE-GGA | relaxed

Cell lengths 8.363, 8.363, 8.363 Å; angles 23.72, 23.72, 23.72 degrees
Atoms (fractional coordinates):
1 Pb 0.750 0.750 0.750
2 Si 0.984 0.984 0.984
3 Si 0.516 0.516 0.516
4 Zn 0.250 0.250 0.250

Results
Volume in Å³ per atom: 20.78
Electronic total energy in eV/cell: -13.80
Space-group type: R-3m, No. 166